Record 1
First-principles (PBE) data for a relaxed structure of Ce15PuAl4, as listed in the Alexandria database.

```
20
Lattice="-0.538 -4.208 -1.841 1.564 -1.911 3.910 -21.943 -0.854 8.358" Properties=species:S:1:pos:R:3 pbc="T T T"
Ce -6.844 -2.360 1.584
Ce -8.299 -3.402 4.391
Ce -10.189 -1.382 6.134
Ce -5.794 -1.211 4.460
Ce -14.585 -1.553 7.808
Pu 0.000 0.000 0.000
Al -8.765 -0.341 3.339
Ce -17.203 -3.748 7.783
Ce -1.378 -1.039 2.778
Ce -12.617 -3.570 6.036
Ce -15.636 -2.702 4.933
Al -17.562 -0.683 6.690
Ce -20.052 -2.873 6.615
Ce 0.513 -3.059 1.034
Ce -19.001 -1.725 9.491
Ce -11.240 -2.531 3.259
Ce -3.713 -3.224 2.644
Al -4.380 -0.170 1.669
Al -13.178 -0.513 5.020
Ce -2.428 -2.188 -0.098
```

## Properties
The total magnetization is 8.1 μB per cell. As for the formation energy from the elements: -23 meV/atom. Its space group is P4/mmm (123). As for the raw total energy: -5.94 eV per atom.

---

Record 2
First-principles (PBE) data for a relaxed structure of Ce5Pu2Al, as listed in the Alexandria database.

```
16
Lattice="-1.266 -0.911 7.697 -0.625 -7.761 -1.021 7.467 3.680 -2.342" Properties=species:S:1:pos:R:3 pbc="T T T"
Pu -0.978 -6.933 1.839
Pu -0.407 -2.867 0.780
Ce 0.728 -7.291 4.593
Pu -0.913 -1.739 4.836
Pu -1.484 -5.805 5.896
Ce 1.466 -5.530 0.916
Ce 0.000 0.000 0.000
Ce 4.110 0.538 3.417
Ce 4.011 -3.190 1.612
Ce 4.749 -1.429 -2.065
Ce -0.945 -4.336 3.338
Al 2.315 -4.664 3.835
Ce 1.565 -1.803 2.721
Ce 4.848 2.299 -0.260
Ce 0.827 -3.563 6.398
Al 3.261 -0.328 0.498
```

## Properties
The total magnetization is 27.7 μB per cell. As for the formation energy from the elements: -37 meV/atom. Its space group is I4/mcm (140). As for the raw total energy: -7.80 eV per atom.

---

Record 3
First-principles (PBE) data for a relaxed structure of Ce9PuAl2, as listed in the Alexandria database.

```
12
Lattice="-3.624 2.922 -0.116 -1.710 -1.967 3.858 7.188 9.229 7.891" Properties=species:S:1:pos:R:3 pbc="T T T"
Ce -0.602 3.015 1.270
Ce 4.167 9.136 6.504
Ce 2.168 6.684 7.178
Ce 5.123 6.692 8.492
Al 4.784 6.141 5.251
Pu 0.000 0.000 0.000
Ce -0.313 3.500 4.455
Ce 0.355 0.570 3.258
Ce -2.667 0.477 1.871
Ce 1.782 6.075 3.887
Al 2.405 3.088 2.640
Ce 2.739 3.631 5.875
```

## Properties
The total magnetization is 0.4 μB per cell. As for the formation energy from the elements: -85 meV/atom. Its space group is P4/mmm (123). As for the raw total energy: -6.35 eV per atom.

---

Record 4
First-principles (PBE) data for a relaxed structure of CePuAl2, as listed in the Alexandria database.

```
4
Lattice="-4.722 -1.431 -1.304 -0.861 -4.751 -1.652 -2.569 -3.294 2.931" Properties=species:S:1:pos:R:3 pbc="T T T"
Pu -4.076 -4.738 -0.012
Al -6.114 -7.108 -0.018
Ce 0.000 0.000 0.000
Al -2.038 -2.369 -0.006
```

## Properties
The total magnetization is 5.2 μB per cell. As for the formation energy from the elements: -177 meV/atom. Its space group is Fm-3m (225). As for the raw total energy: -7.11 eV per atom.

---

Computed DOS(E_F), in the same sequence as the records: 3.049 2.199 2.895 1.934 states/eV per atom.